## CaBrO2 (PBE)

Data for a geometry-optimized CaBrO2 structure.

Computed properties:
electronic total energy = -37.11 eV for the cell shown
ΔE_f (raw) = -119.8 kJ/mol of atoms
theoretical density = 4.0 Mg/m³

CIF file:
```
data_CaBrO2
_symmetry_space_group_name_H-M 'P 1'
_symmetry_Int_Tables_number 1
_symmetry_space_group_name_Hall 'P 1'
_cell_length_a 6.766
_cell_length_b 6.766
_cell_length_c 6.766
_cell_angle_alpha 140.29
_cell_angle_beta 140.29
_cell_angle_gamma 57.41
loop_
_atom_site_label
_atom_site_type_symbol
_atom_site_fract_x
_atom_site_fract_y
_atom_site_fract_z
Ca1 Ca 0.375 0.625 0.750
Ca2 Ca 0.625 0.375 0.250
Br1 Br 0.125 0.875 0.250
Br2 Br 0.875 0.125 0.750
O1 O 0.159 0.409 0.750
O2 O 0.409 0.159 0.250
O3 O 0.591 0.841 0.750
O4 O 0.841 0.591 0.250
```

=====

## AcPaIrRu (PBE)

Data for a geometry-optimized AcPaIrRu structure.

Computed properties:
electronic total energy = -32.60 eV for the cell shown
theoretical density = 13.8 Mg/m³

CIF file:
```
data_AcPaIrRu
_symmetry_space_group_name_H-M 'P 1'
_symmetry_Int_Tables_number 1
_symmetry_space_group_name_Hall 'P 1'
_cell_length_a 5.035
_cell_length_b 5.035
_cell_length_c 5.035
_cell_angle_alpha 60.00
_cell_angle_beta 60.00
_cell_angle_gamma 60.00
loop_
_atom_site_label
_atom_site_type_symbol
_atom_site_fract_x
_atom_site_fract_y
_atom_site_fract_z
Ac1 Ac 0.000 0.000 0.000
Pa1 Pa 0.500 0.500 0.500
Ir1 Ir 0.750 0.750 0.750
Ru1 Ru 0.250 0.250 0.250
```

=====

## TbNd3Te6 (PBE)

Data for a geometry-optimized TbNd3Te6 structure.

Computed properties:
electronic total energy = -51.56 eV for the cell shown
ΔE_f (raw) = -133.0 kJ/mol of atoms
theoretical density = 5.8 Mg/m³

CIF file:
```
data_TbNd3Te6
_symmetry_space_group_name_H-M 'P 1'
_symmetry_Int_Tables_number 1
_symmetry_space_group_name_Hall 'P 1'
_cell_length_a 8.489
_cell_length_b 8.489
_cell_length_c 8.489
_cell_angle_alpha 55.53
_cell_angle_beta 55.53
_cell_angle_gamma 55.53
loop_
_atom_site_label
_atom_site_type_symbol
_atom_site_fract_x
_atom_site_fract_y
_atom_site_fract_z
Tb1 Tb 0.000 0.000 0.000
Nd1 Nd 0.311 0.311 0.311
Nd2 Nd 0.502 0.502 0.502
Nd3 Nd 0.810 0.810 0.810
Te1 Te 0.100 0.395 0.725
Te2 Te 0.215 0.905 0.604
Te3 Te 0.395 0.725 0.100
Te4 Te 0.604 0.215 0.905
Te5 Te 0.725 0.100 0.395
Te6 Te 0.905 0.604 0.215
```

=====

## TbCd3Pb (PBE)

Data for a geometry-optimized TbCd3Pb structure.

Computed properties:
electronic total energy = -19.13 eV for the cell shown
theoretical density = 6.8 Mg/m³

CIF file:
```
data_TbCd3Pb
_symmetry_space_group_name_H-M 'P 1'
_symmetry_Int_Tables_number 1
_symmetry_space_group_name_Hall 'P 1'
_cell_length_a 13.114
_cell_length_b 13.114
_cell_length_c 5.045
_cell_angle_alpha 90.00
_cell_angle_beta 90.00
_cell_angle_gamma 156.71
loop_
_atom_site_label
_atom_site_type_symbol
_atom_site_fract_x
_atom_site_fract_y
_atom_site_fract_z
Tb1 Tb 0.113 0.887 0.750
Tb2 Tb 0.887 0.113 0.250
Cd1 Cd 0.000 0.000 0.000
Cd2 Cd 0.000 0.000 0.500
Cd3 Cd 0.030 0.474 0.250
Cd4 Cd 0.474 0.030 0.750
Cd5 Cd 0.526 0.970 0.250
Cd6 Cd 0.970 0.526 0.750
Pb1 Pb 0.381 0.619 0.750
Pb2 Pb 0.619 0.381 0.250
```